A plane-wave DFT calculation with PBE was carried out for a relaxed Ba3SrCu4 crystal.

Results
The calculation puts the total DFT energy (no corrections) at -22.79 eV/f.u. As for the space-group type: No. 156.

a = 4.393 Å, b = 4.393 Å, c = 15.429 Å
α = 90.00°, β = 90.00°, γ = 120.00°
Element x y z (fractional)
Ba 0.000 0.000 0.000
Ba 0.000 0.000 0.262
Ba 0.667 0.333 0.762
Sr 0.667 0.333 0.501
Cu 0.000 0.000 0.631
Cu 0.333 0.667 0.131
Cu 0.333 0.667 0.631
Cu 0.667 0.333 0.131

---

A plane-wave DFT calculation with PBE was carried out for a relaxed BaTbCu crystal.

Results
As for the space-group type: No. 216. The value obtained for the polymorph energy (0 for the lowest one) is 0.0 meV/atom. Its total magnetization is 0.28 μB/f.u.

a = 5.217 Å, b = 5.217 Å, c = 5.217 Å
α = 60.00°, β = 60.00°, γ = 60.00°
Element x y z (fractional)
Ba 0.000 0.000 0.000
Tb 0.500 0.500 0.500
Cu 0.250 0.250 0.250

---

A plane-wave DFT calculation with PBE was carried out for a relaxed BaTbCu crystal.

Results
As for the space-group type: No. 216. The value obtained for the polymorph energy (0 for the lowest one) is 586.8 meV/atom. Its total magnetization is 0.00 μB/f.u.

a = 5.119 Å, b = 5.119 Å, c = 5.119 Å
α = 60.00°, β = 60.00°, γ = 60.00°
Element x y z (fractional)
Ba 0.000 0.000 0.000
Tb 0.250 0.250 0.250
Cu 0.750 0.750 0.750

---

A plane-wave DFT calculation with PBE was carried out for a relaxed BaTbCuTe3 crystal.

Results
The calculation puts the total DFT energy (no corrections) at -26.82 eV/f.u. As for the space-group type: No. 62. Its total magnetization is 0.00 μB/f.u.

a = 12.483 Å, b = 4.606 Å, c = 12.829 Å
α = 90.00°, β = 90.00°, γ = 90.00°
Element x y z (fractional)
Ba 0.195 0.250 0.008
Ba 0.305 0.750 0.508
Ba 0.695 0.250 0.492
Ba 0.805 0.750 0.992
Tb 0.025 0.250 0.316
Tb 0.475 0.750 0.816
Tb 0.525 0.250 0.184
Tb 0.975 0.750 0.684
Cu 0.237 0.750 0.209
Cu 0.263 0.250 0.709
Cu 0.737 0.750 0.291
Cu 0.763 0.250 0.791
Te 0.038 0.750 0.149
Te 0.100 0.250 0.565
Te 0.222 0.750 0.802
Te 0.278 0.250 0.302
Te 0.400 0.750 0.065
Te 0.462 0.250 0.649
Te 0.538 0.750 0.351
Te 0.600 0.250 0.935
Te 0.722 0.750 0.698
Te 0.778 0.250 0.198
Te 0.900 0.750 0.435
Te 0.962 0.250 0.851